Record 1
Crystalline SrLu2Pb at its relaxed geometry. Source: Alexandria, functional PBE.

It has space group R-3m (No. 166, hexagonal axes), with a = 3.6092 Å, b = 3.6092 Å, c = 36.0396 Å, α = 90.00°, β = 90.00° and γ = 120.00°. The asymmetric unit holds Sr at (0.0000, 0.0000, 0.0000), Lu at (0.0000, 0.0000, 0.0971) and Pb at (0.0000, 0.0000, 0.5000).

The uncorrected energy is -3.443 eV/atom. The value obtained for the formation energy is 165 meV/atom. The energy relative to the lowest polymorph listed for this composition is 260 meV per atom.

***

Record 2
Crystalline Li3AgBi3 at its relaxed geometry. Source: Alexandria, functional PBE.

It has space group C2/m (No. 12), with a = 9.9310 Å, b = 9.5564 Å, c = 7.4013 Å, α = 90.00°, β = 90.04° and γ = 90.00°. The asymmetric unit holds Li at (0.0000, 0.2162, 0.0000), Li at (0.0000, 0.2513, 0.5000), Li at (0.2484, 0.5000, 0.5015), Ag at (0.2221, 0.0000, 0.0013), Bi at (0.0002, 0.5000, 0.2425) and Bi at (0.2498, 0.2494, 0.7476).

The uncorrected energy is -3.122 eV/atom. The value obtained for the formation energy is -231 meV/atom. The energy relative to the lowest polymorph listed for this composition is 0 meV per atom.

***

Record 3
Crystalline Li9Ag4Pd11 at its relaxed geometry. Source: Alexandria, functional PBE.

It has space group Cmmm (No. 65), with a = 13.7733 Å, b = 17.8844 Å, c = 2.8628 Å, α = 90.00°, β = 90.00° and γ = 90.00°. The asymmetric unit holds Li at (0.0000, 0.0000, 0.0000), Li at (0.0997, 0.4037, 0.0000), Li at (0.1230, 0.2252, 0.0000), Ag at (0.1595, 0.0802, 0.0000), Pd at (0.0000, 0.1389, 0.5000), Pd at (0.0000, 0.3066, 0.5000), Pd at (0.0000, 0.5000, 0.5000), Pd at (0.1991, 0.5000, 0.5000) and Pd at (0.2158, 0.3241, 0.5000).

The uncorrected energy is -3.867 eV/atom. The value obtained for the formation energy is -294 meV/atom.

***

Record 4
Crystalline Mg3GeI at its relaxed geometry. Source: Alexandria, functional PBE.

It has space group Pm-3m (No. 221), with a = 5.2305 Å, b = 5.2305 Å, c = 5.2305 Å, α = 90.00°, β = 90.00° and γ = 90.00°. The asymmetric unit holds Mg at (0.0000, 0.0000, 0.5000), Ge at (0.0000, 0.0000, 0.0000) and I at (0.5000, 0.5000, 0.5000).

The formation energy from raw total energies is -143 meV/atom. The uncorrected energy is -2.334 eV/atom. The energy relative to the lowest polymorph listed for this composition is 0 meV per atom.